[1]
Entry from the Alexandria database: a relaxed MnIn3Cl5 crystal (GGA-PBE).

abc: 8.268 8.268 15.368
angles: 90.00 90.00 90.00
Space group I4/mcm (No. 140)
Inequivalent atoms, fractional coordinates:
Mn 0.000 0.500 0.250 x4
In 0.000 0.000 0.250 x4
In 0.160 0.340 0.000 x8
Cl 0.000 0.000 0.000 x4
Cl 0.158 0.342 0.345 x16

Output
The density of states at the Fermi level is 0.0 states/eV/f.u. Its formation energy from raw total energies is -0.90 eV/atom. For the total energy, the calculation gives -138.8 eV per cell. For the volume, the calculation gives 29.184 Å³/atom.

=====

[2]
Entry from the Alexandria database: a relaxed BaErBi2 crystal (GGA-PBE).

abc: 3.936 3.936 8.766
angles: 90.00 90.00 90.00
Space group P4/mmm (No. 123)
Inequivalent atoms, fractional coordinates:
Ba 0.000 0.000 0.000 x1
Er 0.000 0.000 0.500 x1
Bi 0.500 0.500 0.285 x2

Output
The density of states at the Fermi level is 2.5 states/eV/f.u. For the total energy, the calculation gives -16.9 eV per cell. For the volume, the calculation gives 33.958 Å³/atom. The value obtained for the excess energy over the best structure of this formula in the dataset is 78 meV/atom.

=====

[3]
Entry from the Alexandria database: a relaxed La4Ag2Hg crystal (GGA-PBE).

abc: 5.3905 5.3905 25.9633
angles: 90.00 90.00 120.00
Space group R-3m (No. 166, hexagonal axes)
Inequivalent atoms, fractional coordinates:
La 0.0000 0.0000 0.1187 x6
La 0.0000 0.0000 0.3712 x6
Ag 0.0000 0.0000 0.2464 x6
Hg 0.0000 0.0000 0.5000 x3

Output
The density of states at the Fermi level is 9.2 states/eV/f.u. For the total energy, the calculation gives -81.3 eV per cell. For the volume, the calculation gives 31.113 Å³/atom. The value obtained for the excess energy over the best structure of this formula in the dataset is 0 meV/atom.

=====

[4]
Entry from the Alexandria database: a relaxed BiP2HS crystal (GGA-PBE).

abc: 5.474 5.474 5.322
angles: 90.00 90.00 90.00
Space group P4/mmm (No. 123)
Inequivalent atoms, fractional coordinates:
Bi 0.000 0.000 0.000 x1
P 0.000 0.500 0.000 x2
H 0.500 0.500 0.500 x1
S 0.000 0.000 0.500 x1

Output
The density of states at the Fermi level is 4.5 states/eV/f.u. For the total energy, the calculation gives -14.3 eV per cell. For the volume, the calculation gives 31.893 Å³/atom. The value obtained for the excess energy over the best structure of this formula in the dataset is 965 meV/atom.

=====

[5]
Entry from the Alexandria database: a relaxed ZnSi4W crystal (GGA-PBE).

abc: 6.944 6.944 6.944
angles: 90.00 90.00 90.00
Space group F-43m (No. 216)
Inequivalent atoms, fractional coordinates:
Zn 0.000 0.000 0.000 x4
Si 0.124 0.124 0.376 x16
W 0.250 0.250 0.750 x4

Output
The density of states at the Fermi level is 5.2 states/eV/f.u. Its formation energy from raw total energies is 0.51 eV/atom. For the total energy, the calculation gives -131.5 eV per cell. For the volume, the calculation gives 13.950 Å³/atom.

=====

[6]
Entry from the Alexandria database: a relaxed NaLiY crystal (GGA-PBE).

abc: 3.589 3.589 13.969
angles: 90.00 90.00 90.00
Space group P4/nmm (No. 129, origin choice 2)
Inequivalent atoms, fractional coordinates:
Na 0.250 0.250 0.101 x2
Li 0.250 0.250 0.745 x2
Y 0.250 0.250 0.414 x2

Output
The density of states at the Fermi level is 2.8 states/eV/f.u. For the total energy, the calculation gives -18.9 eV per cell. For the volume, the calculation gives 29.988 Å³/atom. The value obtained for the excess energy over the best structure of this formula in the dataset is 0 meV/atom.

=====

[7]
Entry from the Alexandria database: a relaxed Nd6Ga3N crystal (GGA-PBE).

abc: 6.592 8.106 11.574
angles: 90.00 119.23 90.00
Space group P2_1/c (No. 14)
Inequivalent atoms, fractional coordinates:
Nd 0.084 0.050 0.230 x4
Nd 0.183 0.714 0.062 x4
Nd 0.383 0.151 0.055 x4
Ga 0.320 0.115 0.742 x4
Ga 0.500 0.000 0.500 x2
N 0.000 0.000 0.000 x2

Output
The density of states at the Fermi level is 10.4 states/eV/f.u. Its formation energy from raw total energies is -0.56 eV/atom. For the total energy, the calculation gives -103.1 eV per cell. For the volume, the calculation gives 26.981 Å³/atom.

=====

[8]
Entry from the Alexandria database: a relaxed GaAu2Se crystal (GGA-PBE).

abc: 6.765 6.765 6.765
angles: 90.00 90.00 90.00
Space group Fm-3m (No. 225)
Inequivalent atoms, fractional coordinates:
Ga 0.000 0.000 0.000 x4
Au 0.250 0.250 0.250 x8
Se 0.000 0.000 0.500 x4

Output
The density of states at the Fermi level is 1.9 states/eV/f.u. Its formation energy from raw total energies is 0.12 eV/atom. For the total energy, the calculation gives -50.4 eV per cell. For the volume, the calculation gives 19.350 Å³/atom.

=====

[9]
Entry from the Alexandria database: a relaxed Ca2LaRhPb crystal (GGA-PBE).

abc: 5.460 5.460 5.434
angles: 90.00 90.00 90.00
Space group P4/mmm (No. 123)
Inequivalent atoms, fractional coordinates:
Ca 0.000 0.500 0.000 x2
La 0.000 0.000 0.500 x1
Rh 0.000 0.000 0.000 x1
Pb 0.500 0.500 0.500 x1

Output
The density of states at the Fermi level is 3.1 states/eV/f.u. For the total energy, the calculation gives -22.2 eV per cell. For the volume, the calculation gives 32.400 Å³/atom.

=====

[10]
Entry from the Alexandria database: a relaxed Ta2OsW crystal (GGA-PBE).

abc: 3.209 3.209 6.449
angles: 90.00 90.00 90.00
Space group P4/mmm (No. 123)
Inequivalent atoms, fractional coordinates:
Ta 0.000 0.000 0.248 x2
Os 0.500 0.500 0.500 x1
W 0.500 0.500 0.000 x1

Output
The density of states at the Fermi level is 1.6 states/eV/f.u. For the total energy, the calculation gives -49.0 eV per cell. For the volume, the calculation gives 16.602 Å³/atom. The value obtained for the excess energy over the best structure of this formula in the dataset is 27 meV/atom.

=====

[11]
Entry from the Alexandria database: a relaxed Tb8Dy3In crystal (GGA-PBE).

abc: 8.607 8.607 11.292
angles: 90.00 90.00 90.00
Space group I-42m (No. 121)
Inequivalent atoms, fractional coordinates:
Tb 0.126 0.126 0.246 x8
Tb 0.246 0.246 0.983 x8
Dy 0.000 0.000 0.000 x2
Dy 0.000 0.500 0.250 x4
In 0.000 0.000 0.500 x2

Output
The density of states at the Fermi level is 15.7 states/eV/f.u. For the total energy, the calculation gives -95.0 eV per cell. For the volume, the calculation gives 34.858 Å³/atom.

=====

[12]
Entry from the Alexandria database: a relaxed ReGeH2 crystal (GGA-PBE).

abc: 5.632 5.632 4.976
angles: 90.00 90.00 90.00
Space group I-42d (No. 122)
Inequivalent atoms, fractional coordinates:
Re 0.000 0.000 0.000 x4
Ge 0.000 0.000 0.500 x4
H 0.169 0.250 0.125 x8

Output
The density of states at the Fermi level is 2.9 states/eV/f.u. For the total energy, the calculation gives -89.3 eV per cell. For the volume, the calculation gives 9.864 Å³/atom. The value obtained for the excess energy over the best structure of this formula in the dataset is 0 meV/atom.

=====

[13]
Entry from the Alexandria database: a relaxed Pm5Y2Bi4 crystal (GGA-PBE).

abc: 26.948 3.538 7.817
angles: 90.00 90.19 90.00
Space group C2/m (No. 12)
Inequivalent atoms, fractional coordinates:
Pm 0.000 0.000 0.000 x2
Pm 0.140 0.500 0.129 x4
Pm 0.236 0.500 0.787 x4
Y 0.088 0.500 0.685 x4
Bi 0.035 0.500 0.324 x4
Bi 0.173 0.000 0.486 x4

Output
The density of states at the Fermi level is 11.5 states/eV/f.u. For the total energy, the calculation gives -111.2 eV per cell. For the volume, the calculation gives 33.878 Å³/atom.

=====

[14]
Entry from the Alexandria database: a relaxed ZnAgRu2 crystal (GGA-PBE).

abc: 2.815 2.815 7.549
angles: 90.00 90.00 90.00
Space group P4mm (No. 99)
Inequivalent atoms, fractional coordinates:
Zn 0.000 0.000 0.000 x1
Ag 0.500 0.500 0.260 x1
Ru 0.000 0.000 0.543 x1
Ru 0.500 0.500 0.759 x1

Output
The density of states at the Fermi level is 2.4 states/eV/f.u. For the total energy, the calculation gives -22.3 eV per cell. For the volume, the calculation gives 14.960 Å³/atom.

=====

[15]
Entry from the Alexandria database: a relaxed Nd5HfGe4 crystal (GGA-PBE).

abc: 18.278 4.189 7.969
angles: 90.00 106.39 90.00
Space group C2/m (No. 12)
Inequivalent atoms, fractional coordinates:
Nd 0.000 0.000 0.000 x2
Nd 0.166 0.500 0.855 x4
Nd 0.167 0.500 0.341 x4
Hf 0.000 0.000 0.500 x2
Ge 0.001 0.500 0.732 x4
Ge 0.163 0.000 0.600 x4

Output
The density of states at the Fermi level is 8.1 states/eV/f.u. For the total energy, the calculation gives -114.7 eV per cell. For the volume, the calculation gives 29.269 Å³/atom.

=====

[16]
Entry from the Alexandria database: a relaxed LaSm2Y6Tm crystal (GGA-PBE).

abc: 9.158 15.125 9.688
angles: 90.00 97.68 90.00
Space group C2/c (No. 15)
Inequivalent atoms, fractional coordinates:
La 0.000 0.023 0.250 x4
Sm 0.248 0.051 0.548 x8
Y 0.065 0.189 0.942 x8
Y 0.098 0.393 0.116 x8
Y 0.210 0.225 0.316 x8
Tm 0.000 0.409 0.750 x4

Output
The density of states at the Fermi level is 15.4 states/eV/f.u. For the total energy, the calculation gives -225.9 eV per cell. For the volume, the calculation gives 33.247 Å³/atom.

=====

[17]
Entry from the Alexandria database: a relaxed HgSbI2Cl crystal (GGA-PBE).

abc: 6.621 6.621 4.987
angles: 90.00 90.00 90.00
Space group P4/mmm (No. 123)
Inequivalent atoms, fractional coordinates:
Hg 0.000 0.000 0.000 x1
Sb 0.500 0.500 0.000 x1
I 0.000 0.500 0.500 x2
Cl 0.500 0.500 0.500 x1

Output
The density of states at the Fermi level is 7.9 states/eV/f.u. Its formation energy from raw total energies is 0.46 eV/atom. For the total energy, the calculation gives -7.1 eV per cell. For the volume, the calculation gives 43.721 Å³/atom. The value obtained for the excess energy over the best structure of this formula in the dataset is 728 meV/atom.

=====

[18]
Entry from the Alexandria database: a relaxed Sr2Y2Pd crystal (GGA-PBE).

abc: 7.494 7.494 6.298
angles: 90.00 90.00 90.00
Space group P4/mbm (No. 127)
Inequivalent atoms, fractional coordinates:
Sr 0.175 0.325 0.000 x4
Y 0.162 0.662 0.500 x4
Pd 0.000 0.000 0.500 x2

Output
The density of states at the Fermi level is 5.6 states/eV/f.u. For the total energy, the calculation gives -43.8 eV per cell. For the volume, the calculation gives 35.371 Å³/atom.

=====

[19]
Entry from the Alexandria database: a relaxed Cd2GaH2 crystal (GGA-PBE).

abc: 7.257 7.257 3.171
angles: 90.00 90.00 90.00
Space group P4/mbm (No. 127)
Inequivalent atoms, fractional coordinates:
Cd 0.134 0.366 0.000 x4
Ga 0.000 0.000 0.500 x2
H 0.248 0.252 0.500 x4

Output
The density of states at the Fermi level is 1.3 states/eV/f.u. For the total energy, the calculation gives -19.3 eV per cell. For the volume, the calculation gives 16.701 Å³/atom. The value obtained for the excess energy over the best structure of this formula in the dataset is 41 meV/atom.

=====

[20]
Entry from the Alexandria database: a relaxed DyLuAgAu crystal (GGA-PBE).

abc: 7.157 7.157 7.157
angles: 90.00 90.00 90.00
Space group F-43m (No. 216)
Inequivalent atoms, fractional coordinates:
Dy 0.000 0.000 0.000 x4
Lu 0.000 0.000 0.500 x4
Ag 0.250 0.250 0.750 x4
Au 0.250 0.250 0.250 x4

Output
The density of states at the Fermi level is 2.9 states/eV/f.u. For the total energy, the calculation gives -70.7 eV per cell. For the volume, the calculation gives 22.910 Å³/atom.

=====

[21]
Entry from the Alexandria database: a relaxed NdEr8Tm3 crystal (GGA-PBE).

abc: 6.354 11.170 11.255
angles: 90.00 90.00 90.00
Space group Immm (No. 71)
Inequivalent atoms, fractional coordinates:
Nd 0.000 0.000 0.000 x2
Er 0.000 0.169 0.251 x8
Er 0.246 0.258 0.000 x8
Tm 0.000 0.000 0.500 x2
Tm 0.000 0.500 0.241 x4

Output
The density of states at the Fermi level is 15.8 states/eV/f.u. For the total energy, the calculation gives -101.3 eV per cell. For the volume, the calculation gives 33.282 Å³/atom.

=====

[22]
Entry from the Alexandria database: a relaxed Ca3Zn4Rh4 crystal (GGA-PBE).

abc: 7.636 7.636 7.636
angles: 90.00 90.00 90.00
Space group I-43m (No. 217)
Inequivalent atoms, fractional coordinates:
Ca 0.000 0.000 0.500 x6
Zn 0.126 0.126 0.874 x8
Rh 0.192 0.192 0.192 x8

Output
The density of states at the Fermi level is 6.8 states/eV/f.u. For the total energy, the calculation gives -87.0 eV per cell. For the volume, the calculation gives 20.238 Å³/atom.

=====

[23]
Entry from the Alexandria database: a relaxed MnCr crystal (GGA-PBE).

abc: 2.688 4.199 4.548
angles: 90.00 90.00 90.00
Space group Immm (No. 71)
Inequivalent atoms, fractional coordinates:
Mn 0.000 0.000 0.000 x2
Cr 0.000 0.000 0.500 x2

Output
The density of states at the Fermi level is 2.2 states/eV/f.u. For the total energy, the calculation gives -35.2 eV per cell. For the volume, the calculation gives 12.835 Å³/atom.

=====

[24]
Entry from the Alexandria database: a relaxed LiY5Er4 crystal (GGA-PBE).

abc: 3.561 3.561 23.915
angles: 90.00 90.00 90.00
Space group P4/mmm (No. 123)
Inequivalent atoms, fractional coordinates:
Li 0.000 0.000 0.000 x1
Y 0.500 0.500 0.084 x2
Y 0.500 0.500 0.291 x2
Y 0.500 0.500 0.500 x1
Er 0.000 0.000 0.187 x2
Er 0.000 0.000 0.396 x2

Output
The density of states at the Fermi level is 13.6 states/eV/f.u. For the total energy, the calculation gives -52.1 eV per cell. For the volume, the calculation gives 30.327 Å³/atom.